BaAs2Au (GGA-PBEsol, relaxed); SG = No. 99; formation enthalpy at 0 K = -0.2989 eV/atom; N(E_F) = 1.2 states/eV/f.u.
1.0
3.6613 0.0000 0.0000
0.0000 3.6613 0.0000
0.0000 0.0000 7.1027
Ba As Au
1 2 1
Cartesian
0.0000 0.0000 0.0000
0.0000 0.0000 3.4359
1.8306 1.8306 2.4201
1.8306 1.8306 5.1029